{
  "formula": "MgTiV2O6",
  "functional": "PBE+U",
  "state": "optimized geometry",
  "dft_energy_ev_per_cell": -75.13,
  "sg": "P4mm",
  "lattice": [[4.972, 0.000, 0.000], [0.000, 4.972, 0.000], [0.000, 0.000, 4.951]],
  "species": ["Mg", "Ti", "V", "V", "O", "O", "O", "O", "O", "O"],
  "fractional_positions": [[0.000, 0.000, 0.000], [0.500, 0.500, 0.021], [0.000, 0.500, 0.394], [0.500, 0.000, 0.394], [0.000, 0.000, 0.613], [0.254, 0.254, 0.184], [0.254, 0.746, 0.184], [0.500, 0.500, 0.658], [0.746, 0.254, 0.184], [0.746, 0.746, 0.184]]
}